[1]
The following is a DFT calculation (PBE) of a relaxed structure of La2PrMg3CdIn2.

Results
- crystal system = orthorhombic
- space group = Amm2
- DFT total energy (eV per atom) = -3.243

Unit cell a=4.8234 b=7.7780 c=7.7780 alpha=119.95 beta=90.00 gamma=90.00
Positions (direct):
1 Cd 0.0000 0.9987 0.9987
2 In 0.5000 0.6655 0.3349
3 In 0.5000 0.3349 0.6655
4 La 0.0000 0.4223 0.0000
5 La 0.0000 0.0000 0.4223
6 Mg 0.5000 0.2399 0.2399
7 Mg 0.5000 0.9989 0.7609
8 Mg 0.5000 0.7609 0.9989
9 Pr 0.0000 0.5790 0.5790


[2]
The following is a DFT calculation (PBE) of a relaxed structure of Ho3Tm3Te2Pt.

Results
- crystal system = hexagonal
- space group = P-62m
- excess energy over the best structure of this formula in the dataset (kJ/mol of atoms) = 0.0

Unit cell a=8.3220 b=8.3220 c=3.9402 alpha=90.00 beta=90.00 gamma=120.00
Last column: magnetic moment on the atom in μB.
Positions (direct):
1 Ho 0.6007 0.0000 0.0000  0.07
2 Ho 0.3993 0.3993 0.0000  0.08
3 Ho 0.0000 0.6007 0.0000  0.04
4 Pt 0.0000 0.0000 0.0000  0.02
5 Te 0.6667 0.3333 0.5000  0.00
6 Te 0.3333 0.6667 0.5000  0.00
7 Tm 0.2441 0.0000 0.5000  0.07
8 Tm 0.0000 0.2441 0.5000  0.07
9 Tm 0.7559 0.7559 0.5000  0.07


[3]
The following is a DFT calculation (PBE) of a relaxed structure of NaAgNO.

Results
- crystal system = tetragonal
- space group = P4/mmm
- excess energy over the best structure of this formula in the dataset (kJ/mol of atoms) = 9.0

Unit cell a=4.6663 b=4.6663 c=4.3525 alpha=90.00 beta=90.00 gamma=90.00
Positions (direct):
1 Ag 0.2500 0.2500 0.0003
2 Ag 0.7500 0.7500 0.9997
3 N 0.7500 0.7500 0.4996
4 N 0.2500 0.2500 0.5004
5 Na 0.7500 0.2500 0.5000
6 Na 0.2500 0.7500 0.5000
7 O 0.7500 0.2500 0.0000
8 O 0.2500 0.7500 0.0000


[4]
The following is a DFT calculation (PBE) of a relaxed structure of Pm7NiBr12.

Results
- crystal system = trigonal
- space group = R-3
- DFT total energy (eV per atom) = -4.528

Unit cell a=9.4054 b=9.4054 c=9.4054 alpha=107.48 beta=107.48 gamma=107.48
Last column: magnetic moment on the atom in μB.
Positions (direct):
1 Br 0.6843 0.2205 0.0747  0.00
2 Br 0.3885 0.4721 0.1620  0.01
3 Br 0.0747 0.6843 0.2205  0.00
4 Br 0.7795 0.9253 0.3157  0.00
5 Br 0.4721 0.1620 0.3885  0.00
6 Br 0.1620 0.3885 0.4721  0.01
7 Br 0.8380 0.6115 0.5279  0.01
8 Br 0.5279 0.8380 0.6115  0.00
9 Br 0.2205 0.0747 0.6843  0.00
10 Br 0.9253 0.3157 0.7795  0.00
11 Br 0.6115 0.5279 0.8380  0.01
12 Br 0.3157 0.7795 0.9253  0.00
13 Ni 0.0000 0.0000 0.0000  0.06
14 Pm 0.3147 0.1092 0.0304  0.03
15 Pm 0.0304 0.3147 0.1092  0.03
16 Pm 0.1092 0.0304 0.3147  0.03
17 Pm 0.5000 0.5000 0.5000  0.24
18 Pm 0.8908 0.9696 0.6853  0.03
19 Pm 0.9696 0.6853 0.8908  0.03
20 Pm 0.6853 0.8908 0.9696  0.03